DFT (PBE) results for a relaxed structure of NdDy2CdAu4.

```
8
Lattice="2.526 1.458 8.350 -2.526 1.458 8.350 0.000 -2.916 8.350" Properties=species:S:1:pos:R:3 pbc="T T T"
Nd 0.000 0.000 0.000
Dy 0.000 0.000 6.046
Dy 0.000 0.000 19.005
Cd 0.000 0.000 12.526
Au 0.000 0.000 3.035
Au 0.000 0.000 9.394
Au 0.000 0.000 15.657
Au 0.000 0.000 22.016
```

## Properties
- energy relative to the elements (eV/atom) = -0.730
- total magnetic moment (μB/f.u.) = 0.000
- DFT total energy (eV per atom) = -4.23

***

DFT (PBE) results for a relaxed structure of YTl2P.

```
4
Lattice="0.000 3.709 3.709 3.709 0.000 3.709 3.709 3.709 0.000" Properties=species:S:1:pos:R:3 pbc="T T T"
Y 0.000 0.000 0.000
Tl 1.855 1.855 1.855
Tl 5.564 5.564 5.564
P 3.709 3.709 3.709
```

## Properties
- energy relative to the elements (eV/atom) = 0.127
- total magnetic moment (μB/f.u.) = 0.000
- DFT total energy (eV per atom) = -4.02

***

DFT (PBE) results for a relaxed structure of Pu2InPb.

```
4
Lattice="1.700 0.981 11.121 -1.700 0.981 11.121 0.000 -1.963 11.121" Properties=species:S:1:pos:R:3 pbc="T T T"
Pu 0.000 0.000 8.294
Pu 0.000 0.000 25.068
In 0.000 0.000 16.681
Pb 0.000 0.000 0.000
```

## Properties
- energy relative to the elements (eV/atom) = 0.002
- total magnetic moment (μB/f.u.) = 12.162
- DFT total energy (eV per atom) = -8.78

***

DFT (PBE) results for a relaxed structure of Zn2MoPb.

```
4
Lattice="-1.970 1.970 4.487 1.970 -1.970 4.487 1.970 1.970 -4.487" Properties=species:S:1:pos:R:3 pbc="T T T"
Zn 0.000 0.000 0.000
Zn 0.000 1.970 2.243
Mo 0.000 0.000 4.487
Pb 1.970 0.000 2.243
```

## Properties
- energy relative to the elements (eV/atom) = 0.306
- total magnetic moment (μB/f.u.) = 0.000
- DFT total energy (eV per atom) = -3.97

***

DFT (PBE) results for a relaxed structure of UZnAg.

```
3
Lattice="-1.416 1.416 6.879 1.416 -1.416 6.879 1.416 1.416 -6.879" Properties=species:S:1:pos:R:3 pbc="T T T"
U 0.000 0.000 0.000
Zn 0.000 0.000 4.524
Ag 0.000 0.000 9.469
```

## Properties
- energy relative to the elements (eV/atom) = 0.129
- total magnetic moment (μB/f.u.) = 1.773
- DFT total energy (eV per atom) = -5.01

***

DFT (PBE) results for a relaxed structure of Cs2KPdCl6.

```
10
Lattice="-3.896 3.896 5.362 3.896 -3.896 5.362 3.896 3.896 -5.362" Properties=species:S:1:pos:R:3 pbc="T T T"
Cs 3.896 0.000 2.681
Cs 0.000 3.896 2.681
K 0.000 0.000 0.000
Pd 0.000 0.000 5.362
Cl 2.134 2.134 0.000
Cl 1.763 -1.763 5.362
Cl 0.000 0.000 3.026
Cl 0.000 0.000 7.698
Cl -1.763 1.763 5.362
Cl 1.763 1.763 5.362
```

## Properties
- raw formation energy (eV per atom) = -1.357
- total magnetic moment (μB/f.u.) = 1.029
- DFT total energy (eV per atom) = -3.27

***

DFT (PBE) results for a relaxed structure of Sb3Mo.

```
4
Lattice="4.890 2.823 1.139 -4.890 2.823 1.139 0.000 -5.647 1.139" Properties=species:S:1:pos:R:3 pbc="T T T"
Sb -2.445 -1.412 1.139
Sb -2.445 1.412 2.278
Sb 0.000 2.823 1.139
Mo 0.000 0.000 0.000
```

## Properties
- raw formation energy (eV per atom) = 0.676
- total magnetic moment (μB/f.u.) = 1.814
- DFT total energy (eV per atom) = -5.12

***

DFT (PBE) results for a relaxed structure of BaZn2SiW.

```
5
Lattice="5.715 0.000 0.000 0.000 5.715 0.000 0.000 0.000 5.707" Properties=species:S:1:pos:R:3 pbc="T T T"
Ba 0.000 0.000 0.000
Zn 0.000 2.858 0.000
Zn 2.858 0.000 0.000
Si 2.858 2.858 2.854
W 0.000 0.000 2.854
```

## Properties
- raw formation energy (eV per atom) = 2.393
- total magnetic moment (μB/f.u.) = 2.396
- DFT total energy (eV per atom) = -2.18